DFT (PBE-GGA) results for a relaxed structure of La3HfBi.

## Properties
**Size of the total moment**: 0.00 μB/f.u.
**Offset from the most stable computed form**: 0.411 eV per atom
**E_form**: 14.733 kcal/mol of atoms

Cell: 6.032 6.032 6.032 Å, 90.00 90.00 90.00°
Fractional coordinates of all 5 atoms:
1 La 0.000 0.000 0.500
2 La 0.000 0.500 0.000
3 La 0.500 0.000 0.000
4 Hf 0.500 0.500 0.500
5 Bi 0.000 0.000 0.000